Entry from the Alexandria database: a relaxed Ba2NaP3Pd4 crystal (PBE-GGA).

Cell: 4.432 4.432 10.325 Å, 90.00 90.00 90.00°
Element x y z (fractional)
Ba 0.000 0.500 0.247
Ba 0.500 0.000 0.753
Na 0.000 0.000 0.500
P 0.000 0.500 0.880
P 0.500 0.000 0.120
P 0.500 0.500 0.500
Pd 0.000 0.000 0.000
Pd 0.000 0.500 0.644
Pd 0.500 0.000 0.356
Pd 0.500 0.500 0.000

Properties
ρ   6.68 g cm⁻³
Formation enthalpy at 0 K   -669 meV/atom